Entry 1:
## TbHoGeRh (GGA-PBE)

Data for crystalline TbHoGeRh at its relaxed geometry.

- theoretical density (kg/m³) = 9331
- magnetization (μB/cell) = 0.000
- relative energy among the computed polymorphs (kJ/mol of atoms) = 0.0
- space group = Amm2

POSCAR file:
```
TbHoGeRh
1.0
4.046 0.000 0.000
0.000 4.132 0.000
-2.023 0.000 5.316
Tb Ho Ge Rh
1 1 1 1
direct
0.862 0.500 0.723
0.141 0.000 0.283
0.577 0.500 0.153
0.420 0.000 0.841
```



Entry 2:
## TbHo2Ge2Rh5 (GGA-PBE)

Data for crystalline TbHo2Ge2Rh5 at its relaxed geometry.

- theoretical density (kg/m³) = 10523
- magnetization (μB/cell) = 0.000
- space group = P4/mbm
- total energy (eV for the cell shown) = -136.81

POSCAR file:
```
TbHo2Ge2Rh5
1.0
-3.443 -1.256 -0.270
3.466 -9.197 -1.428
-0.189 -1.593 9.801
Tb Ho Ge Rh
2 4 4 10
direct
0.000 0.000 0.000
0.000 0.500 0.500
0.000 0.673 0.173
0.000 0.327 0.827
0.000 0.173 0.327
0.000 0.827 0.673
0.000 0.124 0.624
0.000 0.876 0.376
0.000 0.624 0.876
0.000 0.376 0.124
0.500 0.217 0.070
0.500 0.783 0.930
0.500 0.070 0.783
0.500 0.717 0.430
0.500 0.930 0.217
0.500 0.283 0.570
0.500 0.570 0.717
0.500 0.430 0.283
0.500 0.500 0.000
0.500 0.000 0.500
```



Entry 3:
## Tb2HoGe2Rh5 (GGA-PBE)

Data for crystalline Tb2HoGe2Rh5 at its relaxed geometry.

- theoretical density (kg/m³) = 10415
- magnetization (μB/cell) = 0.000
- space group = P4/mbm
- total energy (eV for the cell shown) = -136.91

POSCAR file:
```
Tb2HoGe2Rh5
1.0
-3.539 0.393 0.881
-2.538 -1.508 -9.519
-0.657 -9.794 1.726
Tb Ho Ge Rh
4 2 4 10
direct
0.000 0.673 0.173
0.000 0.327 0.827
0.000 0.173 0.327
0.000 0.827 0.673
0.000 0.000 0.000
0.000 0.500 0.500
0.000 0.123 0.623
0.000 0.877 0.377
0.000 0.623 0.877
0.000 0.377 0.123
0.500 0.216 0.070
0.500 0.784 0.930
0.500 0.070 0.784
0.500 0.716 0.430
0.500 0.930 0.216
0.500 0.284 0.570
0.500 0.570 0.716
0.500 0.430 0.284
0.500 0.500 0.000
0.500 0.000 0.500
```



Entry 4:
## HoThGe2Rh5 (GGA-PBE)

Data for crystalline HoThGe2Rh5 at its relaxed geometry.

- theoretical density (kg/m³) = 10970
- magnetization (μB/cell) = 0.000
- space group = P4/mmm
- total energy (eV for the cell shown) = -65.58

POSCAR file:
```
HoThGe2Rh5
1.0
4.200 0.000 0.000
0.000 4.200 0.000
0.000 0.000 9.068
Ho Th Ge Rh
1 1 2 5
direct
0.000 0.000 0.000
0.000 0.000 0.500
0.500 0.500 0.138
0.500 0.500 0.862
0.000 0.500 0.267
0.500 0.000 0.267
0.000 0.500 0.733
0.500 0.000 0.733
0.500 0.500 0.500
```



Entry 5:
## HoTh2Ge3Rh4 (GGA-PBE)

Data for crystalline HoTh2Ge3Rh4 at its relaxed geometry.

- theoretical density (kg/m³) = 10607
- magnetization (μB/cell) = 0.000
- space group = P-4m2
- total energy (eV for the cell shown) = -71.64

POSCAR file:
```
HoTh2Ge3Rh4
1.0
-0.005 -0.576 4.112
-4.101 -0.648 -0.096
1.803 -11.174 -1.564
Ho Th Ge Rh
1 2 3 4
direct
0.500 0.500 0.500
0.500 0.000 0.230
0.000 0.500 0.770
0.000 0.000 0.500
0.500 0.000 0.879
0.000 0.500 0.121
0.500 0.500 0.000
0.000 0.000 0.000
0.500 0.000 0.664
0.000 0.500 0.336
```



Entry 6:
## Ho2TlGe2Rh5 (GGA-PBE)

Data for crystalline Ho2TlGe2Rh5 at its relaxed geometry.

- theoretical density (kg/m³) = 11263
- magnetization (μB/cell) = 0.000
- space group = P4/mbm
- total energy (eV for the cell shown) = -129.67

POSCAR file:
```
Ho2TlGe2Rh5
1.0
-0.993 -2.092 -2.806
9.465 -1.529 -2.210
0.092 -7.903 5.859
Ho Tl Ge Rh
4 2 4 10
direct
0.000 0.675 0.175
0.000 0.325 0.825
0.000 0.175 0.325
0.000 0.825 0.675
0.000 0.000 0.000
0.000 0.500 0.500
0.000 0.123 0.623
0.000 0.877 0.377
0.000 0.623 0.877
0.000 0.377 0.123
0.500 0.214 0.070
0.500 0.786 0.930
0.500 0.070 0.786
0.500 0.714 0.430
0.500 0.930 0.214
0.500 0.286 0.570
0.500 0.570 0.714
0.500 0.430 0.286
0.500 0.500 0.000
0.500 0.000 0.500
```



Entry 7:
## HoTm2Ge2Rh5 (GGA-PBE)

Data for crystalline HoTm2Ge2Rh5 at its relaxed geometry.

- theoretical density (kg/m³) = 10823
- magnetization (μB/cell) = 0.000
- space group = P4/mbm
- total energy (eV for the cell shown) = -136.68

POSCAR file:
```
HoTm2Ge2Rh5
1.0
3.656 0.000 0.000
0.000 9.879 0.000
0.000 0.000 9.879
Ho Tm Ge Rh
2 4 4 10
direct
0.000 0.000 0.000
0.000 0.500 0.500
0.000 0.673 0.173
0.000 0.327 0.827
0.000 0.173 0.327
0.000 0.827 0.673
0.000 0.124 0.624
0.000 0.876 0.376
0.000 0.624 0.876
0.000 0.376 0.124
0.500 0.215 0.070
0.500 0.785 0.930
0.500 0.070 0.785
0.500 0.715 0.430
0.500 0.930 0.215
0.500 0.285 0.570
0.500 0.570 0.715
0.500 0.430 0.285
0.500 0.500 0.000
0.500 0.000 0.500
```



Entry 8:
## YHo2Ge2Rh5 (GGA-PBE)

Data for crystalline YHo2Ge2Rh5 at its relaxed geometry.

- theoretical density (kg/m³) = 9875
- magnetization (μB/cell) = 0.000
- space group = P4/mbm
- total energy (eV for the cell shown) = -140.43

POSCAR file:
```
YHo2Ge2Rh5
1.0
-0.130 2.272 -2.882
-1.602 -7.739 -6.027
-9.803 1.043 1.265
Y Ho Ge Rh
2 4 4 10
direct
0.000 0.000 0.000
0.000 0.500 0.500
0.000 0.673 0.173
0.000 0.327 0.827
0.000 0.173 0.327
0.000 0.827 0.673
0.000 0.123 0.623
0.000 0.877 0.377
0.000 0.623 0.877
0.000 0.377 0.123
0.500 0.217 0.070
0.500 0.783 0.930
0.500 0.070 0.783
0.500 0.717 0.430
0.500 0.930 0.217
0.500 0.283 0.570
0.500 0.570 0.717
0.500 0.430 0.283
0.500 0.500 0.000
0.500 0.000 0.500
```



Entry 9:
## Ho2Zn2GeRh5 (GGA-PBE)

Data for crystalline Ho2Zn2GeRh5 at its relaxed geometry.

- theoretical density (kg/m³) = 10536
- magnetization (μB/cell) = 0.000
- space group = P4/mbm
- total energy (eV for the cell shown) = -118.94

POSCAR file:
```
Ho2Zn2GeRh5
1.0
3.503 0.000 0.000
0.000 9.711 0.000
0.000 0.000 9.711
Ho Zn Ge Rh
4 4 2 10
direct
0.000 0.672 0.172
0.000 0.328 0.828
0.000 0.172 0.328
0.000 0.828 0.672
0.000 0.128 0.628
0.000 0.872 0.372
0.000 0.628 0.872
0.000 0.372 0.128
0.000 0.000 0.000
0.000 0.500 0.500
0.500 0.197 0.063
0.500 0.803 0.937
0.500 0.063 0.803
0.500 0.697 0.437
0.500 0.937 0.197
0.500 0.303 0.563
0.500 0.563 0.697
0.500 0.437 0.303
0.500 0.500 0.000
0.500 0.000 0.500
```



Entry 10:
## Ho2ZnGe3Rh4 (GGA-PBE)

Data for crystalline Ho2ZnGe3Rh4 at its relaxed geometry.

- theoretical density (kg/m³) = 9594
- magnetization (μB/cell) = 0.000
- space group = P-4m2
- total energy (eV for the cell shown) = -61.77

POSCAR file:
```
Ho2ZnGe3Rh4
1.0
4.128 0.000 0.000
0.000 4.128 0.000
0.000 0.000 10.410
Ho Zn Ge Rh
2 1 3 4
direct
0.500 0.000 0.249
0.000 0.500 0.751
0.500 0.500 0.500
0.000 0.000 0.500
0.500 0.000 0.869
0.000 0.500 0.131
0.500 0.500 0.000
0.000 0.000 0.000
0.500 0.000 0.638
0.000 0.500 0.362
```



Entry 11:
## HoGe2Ru4 (GGA-PBE)

Data for crystalline HoGe2Ru4 at its relaxed geometry.

- theoretical density (kg/m³) = 10321
- magnetization (μB/cell) = 0.000
- relative energy among the computed polymorphs (kJ/mol of atoms) = 0.9
- space group = Cmmm

POSCAR file:
```
HoGe2Ru4
1.0
-0.130 3.405 2.059
-0.387 -2.080 3.416
7.342 0.882 -0.995
Ho Ge Ru
1 2 4
direct
0.000 0.000 0.000
0.500 0.586 0.171
0.500 0.414 0.829
0.500 0.811 0.621
0.000 0.691 0.382
0.500 0.189 0.379
0.000 0.309 0.618
```



Entry 12:
## Ho2GeRu (GGA-PBE)

Data for crystalline Ho2GeRu at its relaxed geometry.

- theoretical density (kg/m³) = 9922
- magnetization (μB/cell) = 0.000
- space group = P4/mmm
- total energy (eV for the cell shown) = -25.27

POSCAR file:
```
Ho2GeRu
1.0
-0.180 3.304 0.993
0.920 -0.912 3.203
6.795 0.881 -1.701
Ru Ge Ho
1 1 2
direct
0.500 0.500 0.000
0.500 0.500 0.500
0.000 0.000 0.766
0.000 0.000 0.234
```



Q: Which value of magnetization does entry 1 give?
A: 0.000 μB/cell



What did the ninth record say?
## Ho2Zn2GeRh5 (GGA-PBE)

Data for crystalline Ho2Zn2GeRh5 at its relaxed geometry.

- theoretical density (kg/m³) = 10536
- magnetization (μB/cell) = 0.000
- space group = P4/mbm
- total energy (eV for the cell shown) = -118.94

POSCAR file:
```
Ho2Zn2GeRh5
1.0
3.503 0.000 0.000
0.000 9.711 0.000
0.000 0.000 9.711
Ho Zn Ge Rh
4 4 2 10
direct
0.000 0.672 0.172
0.000 0.328 0.828
0.000 0.172 0.328
0.000 0.828 0.672
0.000 0.128 0.628
0.000 0.872 0.372
0.000 0.628 0.872
0.000 0.372 0.128
0.000 0.000 0.000
0.000 0.500 0.500
0.500 0.197 0.063
0.500 0.803 0.937
0.500 0.063 0.803
0.500 0.697 0.437
0.500 0.937 0.197
0.500 0.303 0.563
0.500 0.563 0.697
0.500 0.437 0.303
0.500 0.500 0.000
0.500 0.000 0.500
```



Q: Among the records above, which one has the highest theoretical density?
A: Ho2TlGe2Rh5